Entry 1:
Compound: Pm3PbO6
Source: Alexandria via LeMat-Bulk
Functional: GGA-PBE
Structure: relaxed

Properties
- Formation energy (no corrections): -2.7606 eV per atom
- Energy: -7.532 eV per atom
- Relative energy among the computed polymorphs: 0.0350 eV per atom

Lattice parameters (Å, degrees): 9.2924 11.6431 5.8721 90.00 90.00 90.00
Space group Cmc2_1 (No. 36)
One atom of each set of equivalent atoms:
Pm  0.0000  0.0999  0.0000 [4 per cell]
Pm  0.1989  0.3917  0.0556 [8 per cell]
Pb  0.0000  0.3321  0.5658 [4 per cell]
O  0.0000  0.2763  0.1974 [4 per cell]
O  0.0000  0.4865  0.8248 [4 per cell]
O  0.1609  0.0166  0.2759 [8 per cell]
O  0.1629  0.2369  0.7698 [8 per cell]


Entry 2:
Compound: SmGa3CuAu
Source: Alexandria via LeMat-Bulk
Functional: GGA-PBE
Structure: relaxed

Properties
- Energy: -3.785 eV per atom

Lattice parameters (Å, degrees): 5.6741 13.4468 6.0840 90.00 90.00 90.00
Space group Cmcm (No. 63)
One atom of each set of equivalent atoms:
Sm  0.0000  0.1997  0.2500 [4 per cell]
Ga  0.0000  0.3736  0.7500 [4 per cell]
Ga  0.2205  0.0000  0.0000 [8 per cell]
Cu  0.0000  0.4088  0.2500 [4 per cell]
Au  0.0000  0.1669  0.7500 [4 per cell]


Entry 3:
Compound: Mg2Zn2Ru
Source: Alexandria via LeMat-Bulk
Functional: GGA-PBE
Structure: relaxed

Properties
- Energy: -2.935 eV per atom
- Relative energy among the computed polymorphs: 0.1565 eV per atom

Lattice parameters (Å, degrees): 6.6683 6.6683 3.7772 90.00 90.00 90.00
Space group P4/mbm (No. 127)
One atom of each set of equivalent atoms:
Mg  0.1781  0.3219  0.0000 [4 per cell]
Zn  0.1324  0.6324  0.5000 [4 per cell]
Ru  0.0000  0.0000  0.5000 [2 per cell]


Entry 4:
Compound: Rb2LiPmI6
Source: Alexandria via LeMat-Bulk
Functional: GGA-PBE
Structure: relaxed

Properties
- Formation energy (no corrections): -1.4080 eV per atom
- Energy: -3.198 eV per atom

Lattice parameters (Å, degrees): 8.3616 8.6929 14.5301 90.00 124.85 90.00
Space group P2_1/c (No. 14)
One atom of each set of equivalent atoms:
Rb  0.2269  0.0693  0.2485 [4 per cell]
Li  0.0000  0.0000  0.5000 [2 per cell]
Pm  0.5000  0.0000  0.0000 [2 per cell]
I  0.1579  0.2033  0.9587 [4 per cell]
I  0.2602  0.7026  0.9613 [4 per cell]
I  0.3255  0.0109  0.7453 [4 per cell]